1.
Material: TaAsRh4
Method: DFT, PBE-GGA
State: optimized geometry

a = 5.1277 Å, b = 5.1277 Å, c = 5.1277 Å
α = 60.00°, β = 60.00°, γ = 60.00°
Positions (direct):
1 As 0.0000 0.0000 0.0000
2 Rh 0.3752 0.3752 0.8745
3 Rh 0.8745 0.3752 0.3752
4 Ta 0.7500 0.7500 0.7500
5 Rh 0.3752 0.8745 0.3752
6 Rh 0.3752 0.3752 0.3752

Output
crystal system = cubic
energy = -45.4 eV/f.u.

2.
Material: Ta2AsRh
Method: DFT, PBE-GGA
State: optimized geometry

a = 2.9589 Å, b = 2.9589 Å, c = 7.5997 Å
α = 90.00°, β = 90.00°, γ = 99.28°
Positions (direct):
1 Ta 0.0000 0.0000 0.0004
2 Rh 0.5000 0.5000 0.7500
3 Ta 0.0000 0.0000 0.4996
4 As 0.5000 0.5000 0.2500

Output
crystal system = orthorhombic
energy = -36.7 eV/f.u.